# 1
The following is a DFT calculation (GGA-PBE) of crystalline AcZn5P4 at its relaxed geometry.

a = 4.0444 Å, b = 7.4409 Å, c = 8.0310 Å
α = 117.60°, β = 104.58°, γ = 90.00°
Last column: nearest neighbours and their distance in Å.
Fractional positions:
Ac  0.5000  0.0000  0.0000  6 P 2.97-3.10
Zn  0.8229  0.0373  0.6459  4 P 2.48-2.66
Zn  0.8229  0.6086  0.6459  4 P 2.48-2.66
Zn  0.1771  0.3914  0.3541  4 P 2.48-2.66
Zn  0.1771  0.9627  0.3541  4 P 2.48-2.66
Zn  0.5000  0.5000  0.0000  4 P 2.55
P  0.0000  0.7079  0.0000  4 Zn 2.48-2.55
P  0.2731  0.7731  0.5463  6 Zn 2.50-2.66
P  0.7269  0.2269  0.4537  6 Zn 2.50-2.66
P  0.0000  0.2921  0.0000  4 Zn 2.48-2.55

Output
Its space-group type is Immm. As for the formation enthalpy at 0 K: -0.244 eV/atom.

***

# 2
The following is a DFT calculation (GGA-PBE) of crystalline AcZnP2 at its relaxed geometry.

a = 3.6998 Å, b = 3.6998 Å, c = 6.1833 Å
α = 90.00°, β = 90.00°, γ = 90.00°
Last column: nearest neighbours and their distance in Å.
Fractional positions:
P  0.0000  0.0000  0.8157  1 P 2.28
P  0.0000  0.0000  0.1843  1 P 2.28
Ac  0.5000  0.5000  0.5000  2 Zn 3.09, 8 P 3.26
Zn  0.5000  0.5000  0.0000  8 P 2.85, 2 Ac 3.09

Output
Its space-group type is P4/mmm. For the relative energy among the computed polymorphs, the calculation gives 73.0 meV/atom. As for the formation enthalpy at 0 K: -0.311 eV/atom.

***

# 3
The following is a DFT calculation (GGA-PBE) of crystalline AcZnP2 at its relaxed geometry.

a = 4.7274 Å, b = 4.7274 Å, c = 7.7564 Å
α = 72.26°, β = 72.26°, γ = 60.00°
Last column: nearest neighbours and their distance in Å.
Fractional positions:
P  0.1016  0.1016  0.6953  1 Zn 2.21
P  0.8984  0.8984  0.3047  1 Zn 2.21
Ac  0.5000  0.5000  0.5000  6 P 3.08
Zn  0.0000  0.0000  0.0000  2 P 2.21

Output
Its space-group type is R-3m. For the relative energy among the computed polymorphs, the calculation gives 13.1 meV/atom. As for the formation enthalpy at 0 K: -0.371 eV/atom.

***

# 4
The following is a DFT calculation (GGA-PBE) of crystalline Ac5Zn12P3 at its relaxed geometry.

a = 14.5925 Å, b = 14.5925 Å, c = 14.5925 Å
α = 109.47°, β = 109.47°, γ = 109.47°
Last column: nearest neighbours and their distance in Å.
Fractional positions:
P  0.7500  0.3750  0.1250  4 Zn 2.34
P  0.8750  0.7500  0.1250  4 Zn 2.34
P  0.3750  0.7500  0.6250  4 Zn 2.34
P  0.2500  0.1250  0.3750  4 Zn 2.34
P  0.8750  0.1250  0.2500  4 Zn 2.34
P  0.3750  0.6250  0.2500  4 Zn 2.34
P  0.6250  0.3750  0.7500  4 Zn 2.34
P  0.1250  0.8750  0.7500  4 Zn 2.34
P  0.7500  0.8750  0.6250  4 Zn 2.34
P  0.6250  0.2500  0.3750  4 Zn 2.34
P  0.1250  0.2500  0.8750  4 Zn 2.34
P  0.2500  0.6250  0.8750  4 Zn 2.34
Ac  0.1250  0.3750  0.2500  4 Zn 3.12
Ac  0.0000  0.5000  0.0000  6 Zn 3.25
Ac  0.0000  0.0000  0.0000  6 Zn 3.25
Ac  0.3750  0.2500  0.1250  4 Zn 3.12
Ac  0.5000  0.0000  0.5000  6 Zn 3.25
Ac  0.5000  0.5000  0.0000  6 Zn 3.25
Ac  0.1250  0.7500  0.3750  4 Zn 3.12
Ac  0.7500  0.1250  0.8750  4 Zn 3.12
Ac  0.7500  0.6250  0.3750  4 Zn 3.12
Ac  0.3750  0.1250  0.7500  4 Zn 3.12
Ac  0.6250  0.8750  0.2500  4 Zn 3.12
Ac  0.5000  0.5000  0.5000  6 Zn 3.25
Ac  0.5000  0.0000  0.0000  6 Zn 3.25
Ac  0.0000  0.0000  0.5000  6 Zn 3.25
Ac  0.2500  0.3750  0.6250  4 Zn 3.12
Ac  0.2500  0.8750  0.1250  4 Zn 3.12
Ac  0.0000  0.5000  0.5000  6 Zn 3.25
Ac  0.8750  0.2500  0.6250  4 Zn 3.12
Ac  0.6250  0.7500  0.8750  4 Zn 3.12
Ac  0.8750  0.6250  0.7500  4 Zn 3.12
Zn  0.7689  0.1377  0.0989  1 P 2.34
Zn  0.3300  0.5989  0.4612  1 P 2.34
Zn  0.9011  0.3623  0.2311  1 P 2.34
Zn  0.5989  0.2689  0.1377  1 P 2.34
Zn  0.6311  0.7689  0.6700  1 P 2.34
Zn  0.9011  0.5388  0.1700  1 P 2.34
Zn  0.3300  0.7311  0.3689  1 P 2.34
Zn  0.0388  0.8689  0.1377  1 P 2.34
Zn  0.5388  0.9011  0.6700  1 P 2.34
Zn  0.7689  0.6311  0.1700  1 P 2.34
Zn  0.7311  0.4011  0.3623  1 P 2.34
Zn  0.8300  0.9612  0.0989  1 P 2.34
Zn  0.1377  0.7689  0.5989  1 P 2.34
Zn  0.3623  0.4612  0.1311  1 P 2.34
Zn  0.1311  0.9612  0.3623  1 P 2.34
Zn  0.3689  0.1377  0.5388  1 P 2.34
Zn  0.1311  0.1700  0.2689  1 P 2.34
Zn  0.4011  0.6700  0.0388  1 P 2.34
Zn  0.8300  0.8689  0.2311  1 P 2.34
Zn  0.1377  0.3689  0.0388  1 P 2.34
Zn  0.3623  0.9011  0.7311  1 P 2.34
Zn  0.5388  0.6377  0.3689  1 P 2.34
Zn  0.9612  0.8300  0.5989  1 P 2.34
Zn  0.7311  0.3300  0.8689  1 P 2.34
Zn  0.4612  0.3623  0.6311  1 P 2.34
Zn  0.0388  0.1700  0.4011  1 P 2.34
Zn  0.2689  0.6700  0.1311  1 P 2.34
Zn  0.1700  0.1311  0.7689  1 P 2.34
Zn  0.6377  0.0989  0.2689  1 P 2.34
Zn  0.8623  0.6311  0.9612  1 P 2.34
Zn  0.5989  0.3300  0.9612  1 P 2.34
Zn  0.6311  0.8623  0.4612  1 P 2.34
Zn  0.8689  0.8300  0.7311  1 P 2.34
Zn  0.8689  0.0388  0.6377  1 P 2.34
Zn  0.8623  0.2311  0.4011  1 P 2.34
Zn  0.1700  0.0388  0.9011  1 P 2.34
Zn  0.6377  0.5388  0.8689  1 P 2.34
Zn  0.4612  0.0989  0.3300  1 P 2.34
Zn  0.2311  0.3689  0.8300  1 P 2.34
Zn  0.2689  0.5989  0.6377  1 P 2.34
Zn  0.9612  0.1311  0.8623  1 P 2.34
Zn  0.6700  0.2689  0.6311  1 P 2.34
Zn  0.4011  0.7311  0.8623  1 P 2.34
Zn  0.0989  0.4612  0.8300  1 P 2.34
Zn  0.3689  0.2311  0.3300  1 P 2.34
Zn  0.0989  0.6377  0.7689  1 P 2.34
Zn  0.6700  0.4011  0.5388  1 P 2.34
Zn  0.2311  0.8623  0.9011  1 P 2.34

Output
Its space-group type is Ia-3d. As for the formation enthalpy at 0 K: 0.196 eV/atom.

***

# 5
The following is a DFT calculation (GGA-PBE) of crystalline AcZnP2 at its relaxed geometry.

a = 4.0270 Å, b = 4.6858 Å, c = 4.6858 Å
α = 90.00°, β = 90.00°, γ = 90.00°
Last column: nearest neighbours and their distance in Å.
Fractional positions:
P  0.0000  0.0000  0.5000  4 Ac 3.09, 4 Zn 3.09, 4 P 3.31
P  0.0000  0.5000  0.0000  4 Ac 3.09, 4 Zn 3.09, 4 P 3.31
Ac  0.5000  0.5000  0.5000  8 P 3.09, 4 Zn 3.31
Zn  0.5000  0.0000  0.0000  8 P 3.09, 4 Ac 3.31

Output
Its space-group type is P4/mmm. For the relative energy among the computed polymorphs, the calculation gives 0.0 meV/atom. As for the formation enthalpy at 0 K: -0.384 eV/atom.

***

# 6
The following is a DFT calculation (GGA-PBE) of crystalline AcZn8P6 at its relaxed geometry.

a = 7.4324 Å, b = 7.4325 Å, c = 13.1254 Å
α = 90.00°, β = 90.00°, γ = 120.00°
Last column: nearest neighbours and their distance in Å.
Fractional positions:
Ac  0.0000  0.0000  0.4756  4 P 2.97-3.14
Ac  0.0000  0.0000  0.9756  4 P 2.97-3.14
Zn  0.6923  0.6923  0.2715  2 P 2.41-2.42
Zn  0.5798  0.5798  0.6269  3 P 2.34-2.46
Zn  0.4202  0.4202  0.1269  3 P 2.34-2.46
Zn  0.3077  0.3077  0.7715  2 P 2.41-2.42
Zn  0.6667  0.3333  0.8998  4 P 2.37-2.53
Zn  0.6667  0.3333  0.3998  4 P 2.37-2.53
Zn  0.3077  0.0000  0.2715  2 P 2.41-2.42
Zn  0.4202  0.0000  0.6269  3 P 2.34-2.46
Zn  0.5798  0.0000  0.1269  3 P 2.34-2.46
Zn  0.0000  0.6923  0.7715  2 P 2.41-2.42
Zn  0.6923  0.0000  0.7715  2 P 2.41-2.42
Zn  0.0000  0.5798  0.1269  3 P 2.34-2.46
Zn  0.3333  0.6667  0.3998  4 P 2.37-2.53
Zn  0.3333  0.6667  0.8998  4 P 2.37-2.53
Zn  0.0000  0.4202  0.6269  3 P 2.34-2.46
Zn  0.0000  0.3077  0.2715  2 P 2.41-2.42
P  0.6030  0.6030  0.4490  4 Zn 2.34-2.42
P  0.3970  0.3970  0.9490  4 Zn 2.34-2.42
P  0.6667  0.3333  0.7068  7 Zn 2.46-2.71
P  0.0000  0.0000  0.7147  3 Zn 2.41
P  0.0000  0.0000  0.2147  3 Zn 2.41
P  0.6667  0.3333  0.2068  7 Zn 2.46-2.71
P  0.3970  0.0000  0.4490  4 Zn 2.34-2.42
P  0.0000  0.6030  0.9490  4 Zn 2.34-2.42
P  0.6030  0.0000  0.9490  4 Zn 2.34-2.42
P  0.3333  0.6667  0.2068  7 Zn 2.46-2.71
P  0.3333  0.6667  0.7068  7 Zn 2.46-2.71
P  0.0000  0.3970  0.4490  4 Zn 2.34-2.42

Output
Its space-group type is P6_3cm. As for the formation enthalpy at 0 K: -0.227 eV/atom.

***

# 7
The following is a DFT calculation (GGA-PBE) of crystalline AcZrP2 at its relaxed geometry.

a = 4.0088 Å, b = 4.0088 Å, c = 7.2073 Å
α = 73.85°, β = 73.85°, γ = 60.00°
Last column: nearest neighbours and their distance in Å.
Fractional positions:
P  0.2632  0.2632  0.2103  3 Zr 2.72, 3 Ac 3.04
P  0.7368  0.7368  0.7897  3 Zr 2.72, 3 Ac 3.04
Ac  0.5000  0.5000  0.5000  6 P 3.04
Zr  0.0000  0.0000  0.0000  6 P 2.72

Output
Its space-group type is R-3m. For the relative energy among the computed polymorphs, the calculation gives 0.0 meV/atom. As for the formation enthalpy at 0 K: -1.338 eV/atom.

***

# 8
The following is a DFT calculation (GGA-PBE) of crystalline AcZrP2 at its relaxed geometry.

a = 3.9394 Å, b = 3.9394 Å, c = 7.4691 Å
α = 74.71°, β = 74.71°, γ = 60.00°
Last column: nearest neighbours and their distance in Å.
Fractional positions:
Ac  0.4964  0.4964  0.5108  6 P 3.02-3.14
Zr  0.6695  0.6695  0.9916  6 P 2.69-2.74
P  0.0699  0.0699  0.7903  3 Zr 2.69
P  0.2642  0.2642  0.2073  3 Zr 2.74

Output
Its space-group type is R3m. For the relative energy among the computed polymorphs, the calculation gives 98.2 meV/atom. As for the formation enthalpy at 0 K: -1.240 eV/atom.

***

# 9
The following is a DFT calculation (GGA-PBE) of crystalline AcZrP2 at its relaxed geometry.

a = 3.4772 Å, b = 5.0464 Å, c = 5.0464 Å
α = 90.00°, β = 90.00°, γ = 90.00°
Last column: nearest neighbours and their distance in Å.
Fractional positions:
P  0.0000  0.0000  0.5000  4 Zr 3.06, 4 Ac 3.06
P  0.0000  0.5000  0.0000  4 Zr 3.06, 4 Ac 3.06
Ac  0.5000  0.0000  0.0000  8 P 3.06
Zr  0.5000  0.5000  0.5000  8 P 3.06

Output
Its space-group type is P4/mmm. For the relative energy among the computed polymorphs, the calculation gives 650.8 meV/atom. As for the formation enthalpy at 0 K: -0.688 eV/atom.

***

# 10
The following is a DFT calculation (GGA-PBE) of crystalline AcPa4 at its relaxed geometry.

a = 5.5796 Å, b = 5.5796 Å, c = 5.5796 Å
α = 90.00°, β = 90.00°, γ = 90.00°
Last column: nearest neighbours and their distance in Å.
Fractional positions:
Ac  0.5000  0.5000  0.5000  6 Pa 2.79
Pa  0.0000  0.0000  0.0000  12 Pa 3.95
Pa  0.5000  0.0000  0.5000  2 Ac 2.79
Pa  0.0000  0.5000  0.5000  2 Ac 2.79
Pa  0.5000  0.5000  0.0000  2 Ac 2.79

Output
Its space-group type is Pm-3m. As for the formation enthalpy at 0 K: 1.975 eV/atom.

***

# 11
The following is a DFT calculation (GGA-PBE) of crystalline AcPa5 at its relaxed geometry.

a = 4.7096 Å, b = 4.7740 Å, c = 7.5670 Å
α = 108.39°, β = 90.00°, γ = 90.00°
Last column: nearest neighbours and their distance in Å.
Fractional positions:
Ac  0.0000  0.0000  0.0000  12 Pa 3.35-3.41
Pa  0.0000  0.6699  0.3399  10 Pa 3.29-3.39, 2 Ac 3.41
Pa  0.0000  0.3301  0.6601  10 Pa 3.29-3.39, 2 Ac 3.41
Pa  0.5000  0.5000  0.0000  4 Ac 3.35, 8 Pa 3.39-3.42
Pa  0.5000  0.1704  0.3408  10 Pa 3.29-3.42, 2 Ac 3.40
Pa  0.5000  0.8296  0.6592  10 Pa 3.29-3.42, 2 Ac 3.40

Output
Its space-group type is Cmmm. As for the formation enthalpy at 0 K: 0.230 eV/atom.

***

Q: Among the records above, which one has the lowest formation enthalpy at 0 K?
A: number 7

***

Q: Among the records above, which one has the highest formation enthalpy at 0 K?
A: AcPa4

***

Q: Which of these has the highest formation enthalpy at 0 K?
A: AcPa4

***

Q: Which of these has the lowest formation enthalpy at 0 K?
A: number 7